Record 1
BeAg2Pb, PBEsol geometry, DFT SCAN; total energy = -35.35 eV per atom; DOS at the Fermi energy = 1.269 states/eV per cell; formation energy = 371 meV per atom; energy above the lowest structure with this stoichiometry = 0 meV per atom
1.0
-2.012 2.012 4.354
2.012 -2.012 4.354
2.012 2.012 -4.354
Be Ag Pb
1 2 1
direct
0.000 0.000 0.000
0.250 0.750 0.500
0.750 0.250 0.500
0.500 0.500 0.000



Record 2
MgMn2As2, PBEsol geometry, DFT SCAN; total energy = -16.29 eV per atom; DOS at the Fermi energy = 2.575 states/eV per cell; formation energy = 83 meV per atom
1.0
-2.198 2.198 4.033
2.198 -2.198 4.033
2.198 2.198 -4.033
Mg Mn As
1 2 2
direct
0.000 0.000 0.000
0.378 0.378 0.000
0.622 0.622 0.000
0.250 0.750 0.500
0.750 0.250 0.500



Record 3
Na21In5O15, PBEsol geometry, DFT SCAN; total energy = -9.90 eV per atom; ΔE_f (raw) = -134.3 kJ/mol of atoms
1.0
5.642 -8.029 0.000
5.642 8.029 0.000
-5.382 0.000 7.410
Na In O
21 5 15
direct
0.000 0.000 0.000
0.059 0.858 0.285
0.066 0.369 0.276
0.167 0.374 0.824
0.170 0.627 0.110
0.189 0.903 0.855
0.208 0.647 0.629
0.343 0.343 0.134
0.356 0.903 0.545
0.369 0.066 0.276
0.374 0.167 0.824
0.427 0.652 0.412
0.586 0.894 0.322
0.627 0.170 0.110
0.647 0.208 0.629
0.652 0.427 0.412
0.858 0.059 0.285
0.888 0.888 0.584
0.894 0.586 0.322
0.903 0.189 0.855
0.903 0.356 0.545
0.317 0.317 0.571
0.581 0.581 0.074
0.617 0.912 0.822
0.620 0.620 0.769
0.912 0.617 0.822
0.105 0.327 0.520
0.117 0.841 0.057
0.121 0.121 0.863
0.154 0.637 0.353
0.327 0.105 0.520
0.395 0.594 0.129
0.418 0.946 0.824
0.430 0.430 0.451
0.594 0.395 0.129
0.631 0.950 0.611
0.637 0.154 0.353
0.807 0.807 0.281
0.841 0.117 0.057
0.946 0.418 0.824
0.950 0.631 0.611



Record 4
Zr2MnMo, PBEsol geometry, DFT SCAN; total energy = -28.61 eV per atom; DOS at the Fermi energy = 4.494 states/eV per cell; formation energy = 25 meV per atom; energy above the lowest structure with this stoichiometry = 0 meV per atom
1.0
3.210 0.000 0.000
0.000 3.210 0.000
0.000 0.000 6.483
Zr Mn Mo
2 1 1
direct
0.000 0.000 0.238
0.000 0.000 0.762
0.500 0.500 0.000
0.500 0.500 0.500



| no. | calculated volume (Å³/f.u.) |
| --- | --- |
| 1 | 70.5 |
| 2 | 77.9 |
| 3 | 671.4 |
| 4 | 66.8 |